A geometry-optimized YMgCd structure. Source: Alexandria, functional PBE-GGA.

- formation energy from the elements (meV per atom) = -102
- DFT total energy (eV for the cell shown) = -9.3
- spin magnetization (μB/f.u.) = 0.00
- SG = Imm2

abc: 5.5635 5.5635 5.5635
angles: 145.37 128.49 63.56
Closest atoms and distances in Å follow each position.
Element x y z (fractional)
Cd 0.9982 0.9982 0.0000  5 Mg 3.13-3.34, 5 Y 3.18-3.32, 2 Cd 3.31
Mg 0.6678 0.6678 0.0000  5 Cd 3.13-3.34, 5 Y 3.16-3.33, 2 Mg 3.31
Y 0.3340 0.3340 0.0000  5 Mg 3.16-3.33, 5 Cd 3.18-3.32, 2 Y 3.31